This record from Alexandria via LeMat-Bulk describes crystalline GeMoPb3 at its relaxed geometry. The functional is PBE.

Cell and atoms, written as extended XYZ:
```
5
Lattice="-2.1969 1.1194 -4.8898 4.4093 -2.1144 -2.4651 -2.3919 -4.9260 -0.0531" Properties=species:S:1:pos:R:3 pbc="T T T"
Pb -1.1959 -2.4630 -0.0265
Ge 0.0000 0.0000 0.0000
Pb -1.0985 0.5597 -2.4449
Mo -0.0897 -2.9605 -3.7040
Pb 2.2047 -1.0572 -1.2326
```

Values from the calculation:
Its formation enthalpy at 0 K is 1224 meV per atom. The energy above the most stable polymorph in this dataset comes out at 218.5 kJ/mol of formula units. For the calculated total energy, the calculation gives -4.0909 eV per atom.

---

This record from Alexandria via LeMat-Bulk describes crystalline Ge3MoPb at its relaxed geometry. The functional is PBE.

Cell and atoms, written as extended XYZ:
```
5
Lattice="4.9610 0.0000 0.0000 0.0000 4.9610 0.0000 0.0000 0.0000 4.9610" Properties=species:S:1:pos:R:3 pbc="T T T"
Mo 0.0000 0.0000 0.0000
Ge 0.0000 0.0000 2.4805
Ge 0.0000 2.4805 0.0000
Ge 2.4805 0.0000 0.0000
Pb 2.4805 2.4805 2.4805
```

Values from the calculation:
Its formation enthalpy at 0 K is 355 meV per atom. The energy above the most stable polymorph in this dataset comes out at 0.0 kJ/mol of formula units. For the calculated total energy, the calculation gives -5.3229 eV per atom.

---

This record from Alexandria via LeMat-Bulk describes crystalline Ge2MoRuPb at its relaxed geometry. The functional is PBE.

Cell and atoms, written as extended XYZ:
```
5
Lattice="-2.3561 -2.9870 2.7805 -2.4846 -2.0433 -4.3005 3.4498 -3.1730 -0.4855" Properties=species:S:1:pos:R:3 pbc="T T T"
Mo -0.6955 -4.1017 -1.0028
Ge 1.7249 -1.5865 -0.2427
Pb -1.2423 -1.0217 -2.1503
Ru 0.0000 0.0000 0.0000
Ge -1.1780 -1.4935 1.3902
```

Values from the calculation:
Its formation enthalpy at 0 K is 969 meV per atom. For the calculated total energy, the calculation gives -5.6405 eV per atom.

---

This record from Alexandria via LeMat-Bulk describes crystalline GeSb2MoPb at its relaxed geometry. The functional is PBE.

Cell and atoms, written as extended XYZ:
```
5
Lattice="-1.5837 -4.6202 2.4616 3.6117 -2.3888 -2.1601 3.2775 1.1303 4.2301" Properties=species:S:1:pos:R:3 pbc="T T T"
Pb 2.6528 -2.9394 2.2658
Sb -0.7919 -2.3101 1.2308
Sb 1.6388 0.5651 2.1151
Ge 0.0000 0.0000 0.0000
Mo 1.8058 -1.1944 -1.0800
```

Values from the calculation:
The formation energy without anion corrections is 878 meV/atom. For the calculated total energy, the calculation gives -4.6019 eV per atom.

---

This record from Alexandria via LeMat-Bulk describes crystalline GeMoPd2 at its relaxed geometry. The functional is PBE.

Cell and atoms, written as extended XYZ:
```
8
Lattice="3.7564 0.0000 0.0000 0.0000 3.7564 0.0000 1.8782 1.8782 9.3535" Properties=species:S:1:pos:R:3 pbc="T T T"
Pd 2.8068 0.9391 2.3384
Pd 4.6955 4.6850 7.0151
Ge 1.8782 3.7564 4.6767
Pd 2.8173 2.8278 7.0151
Ge 1.8782 1.8782 0.0000
Mo 0.0000 0.0000 0.0000
Mo 3.7564 1.8782 4.6767
Pd 0.9496 2.8173 2.3384
```

Values from the calculation:
Its formation enthalpy at 0 K is 186 meV per atom. For the calculated total energy, the calculation gives -6.2728 eV per atom.

---

This record from Alexandria via LeMat-Bulk describes crystalline GeMoPd at its relaxed geometry. The functional is PBE.

Cell and atoms, written as extended XYZ:
```
6
Lattice="-0.6340 2.7296 0.2080 -1.9978 -1.9754 0.8531 4.8993 0.2241 11.9922" Properties=species:S:1:pos:R:3 pbc="T T T"
Pd 2.5098 1.2250 10.5549
Pd -0.7132 1.0775 2.6660
Ge 2.7035 0.0032 8.1986
Mo 0.3628 -0.4384 6.8589
Mo -2.0549 -0.5421 0.8497
Ge 1.0906 -0.0706 4.2505
```

Values from the calculation:
Its formation enthalpy at 0 K is -11 meV per atom. For the calculated total energy, the calculation gives -6.8918 eV per atom.

---

This record from Alexandria via LeMat-Bulk describes crystalline Ge2MoPd2 at its relaxed geometry. The functional is PBE.

Cell and atoms, written as extended XYZ:
```
10
Lattice="-7.1633 -1.0278 0.9065 1.1713 -7.0961 1.2099 0.2848 0.5340 2.8563" Properties=species:S:1:pos:R:3 pbc="T T T"
Pd -5.5799 -3.1492 2.6374
Pd -3.4577 -6.4768 3.0479
Mo 0.0000 0.0000 0.0000
Mo -2.9960 -4.0620 1.0582
Pd -0.1273 -4.4408 2.3352
Ge -5.2750 -5.5243 1.5588
Ge -4.5182 -1.7836 0.7840
Pd -2.2495 -1.1132 1.9247
Ge -1.4738 -6.3403 1.3323
Ge -0.7170 -2.5996 0.5575
```

Values from the calculation:
Its formation enthalpy at 0 K is -118 meV per atom. For the calculated total energy, the calculation gives -6.2084 eV per atom.

---

This record from Alexandria via LeMat-Bulk describes crystalline GeMo3Pd at its relaxed geometry. The functional is PBE.

Cell and atoms, written as extended XYZ:
```
5
Lattice="-1.6570 2.8758 3.1472 -3.1058 -3.1274 1.2225 2.9205 -1.6941 3.0857" Properties=species:S:1:pos:R:3 pbc="T T T"
Mo 1.4603 -0.8471 1.5428
Mo -1.5529 -1.5637 0.6113
Ge 0.0000 0.0000 0.0000
Mo -0.8285 1.4379 1.5736
Pd -0.9211 -0.9729 3.7277
```

Values from the calculation:
Its formation enthalpy at 0 K is 1375 meV per atom. The energy above the most stable polymorph in this dataset comes out at 0.0 kJ/mol of formula units. For the calculated total energy, the calculation gives -7.0857 eV per atom.

---

This record from Alexandria via LeMat-Bulk describes crystalline GeMo3Pd at its relaxed geometry. The functional is PBE.

Cell and atoms, written as extended XYZ:
```
5
Lattice="4.7337 0.0000 0.0000 0.0000 4.7337 0.0000 0.0000 0.0000 4.7337" Properties=species:S:1:pos:R:3 pbc="T T T"
Pd 0.0000 0.0000 0.0000
Ge 2.3669 2.3669 2.3669
Mo 2.3669 0.0000 0.0000
Mo 0.0000 0.0000 2.3669
Mo 0.0000 2.3669 0.0000
```

Values from the calculation:
Its formation enthalpy at 0 K is 1932 meV per atom. The energy above the most stable polymorph in this dataset comes out at 268.9 kJ/mol of formula units. For the calculated total energy, the calculation gives -6.5283 eV per atom.

---

This record from Alexandria via LeMat-Bulk describes crystalline Sc2GeMoPd at its relaxed geometry. The functional is PBE.

Cell and atoms, written as extended XYZ:
```
5
Lattice="4.9896 0.0000 0.0000 0.0000 4.7892 0.0000 0.0000 0.0000 4.9896" Properties=species:S:1:pos:R:3 pbc="T T T"
Ge 2.4948 2.3946 2.4948
Sc 0.0000 0.0000 2.4948
Pd 0.0000 2.3946 0.0000
Mo 0.0000 0.0000 0.0000
Sc 2.4948 0.0000 0.0000
```

Values from the calculation:
Its formation enthalpy at 0 K is 599 meV per atom. For the calculated total energy, the calculation gives -6.0616 eV per atom.

---

This record from Alexandria via LeMat-Bulk describes crystalline GeTeMo2Pd at its relaxed geometry. The functional is PBE.

Cell and atoms, written as extended XYZ:
```
5
Lattice="5.0961 0.0000 0.0000 0.0000 4.5254 0.0000 0.0000 0.0000 5.0961" Properties=species:S:1:pos:R:3 pbc="T T T"
Te 2.5481 2.2627 2.5481
Ge 0.0000 2.2627 0.0000
Pd 0.0000 0.0000 0.0000
Mo 0.0000 0.0000 2.5481
Mo 2.5481 0.0000 0.0000
```

Values from the calculation:
The formation energy without anion corrections is 1261 meV/atom. For the calculated total energy, the calculation gives -5.6623 eV per atom.

---

This record from Alexandria via LeMat-Bulk describes crystalline PmGe2Mo at its relaxed geometry. The functional is PBE.

Cell and atoms, written as extended XYZ:
```
4
Lattice="3.0187 0.0000 0.0000 1.5093 2.6143 0.0000 1.5093 0.8714 10.4865" Properties=species:S:1:pos:R:3 pbc="T T T"
Ge 4.5280 2.6143 2.5923
Ge 1.5093 0.8714 7.8941
Mo 0.0000 0.0000 0.0000
Pm 3.0187 1.7428 5.2432
```

Values from the calculation:
Its formation enthalpy at 0 K is 462 meV per atom. The energy above the most stable polymorph in this dataset comes out at 317.2 kJ/mol of formula units. For the calculated total energy, the calculation gives -5.7416 eV per atom.

---

This record from Alexandria via LeMat-Bulk describes crystalline PmGe2Mo at its relaxed geometry. The functional is PBE.

Cell and atoms, written as extended XYZ:
```
4
Lattice="-1.1088 -1.3539 2.8498 1.3897 -2.9214 -0.8473 5.8010 1.8499 3.1360" Properties=species:S:1:pos:R:3 pbc="T T T"
Ge 1.7630 0.5622 0.9530
Mo 3.0409 -1.2127 2.5692
Pm 0.1404 -2.1377 1.0013
Ge 4.0380 1.2877 2.1829
```

Values from the calculation:
Its formation enthalpy at 0 K is -279 meV per atom. The energy above the most stable polymorph in this dataset comes out at 30.9 kJ/mol of formula units. For the calculated total energy, the calculation gives -6.4834 eV per atom.